# KZn3Au

A relaxed structure of KZn3Au (PBE, Alexandria).

Cell and atoms, written as POSCAR:
```
KZn3Au
1.0
6.230 0.000 0.000
0.000 6.230 0.000
0.000 0.000 6.230
K Zn Au
1 3 1
direct
0.000 0.000 0.000
0.000 0.000 0.500
0.000 0.500 0.000
0.500 0.000 0.000
0.500 0.500 0.500
```

Values from the calculation:
Mass density: 2.97 g/cm³
Offset from the most stable computed form: 4.94 eV/f.u.

# K2ZnAu

A relaxed structure of K2ZnAu (PBE, Alexandria).

Cell and atoms, written as POSCAR:
```
K2ZnAu
1.0
7.782 0.000 0.000
0.000 7.782 0.000
0.000 0.000 7.782
K Zn Au
8 4 4
direct
0.000 0.000 0.000
0.000 0.500 0.500
0.250 0.250 0.250
0.250 0.750 0.750
0.500 0.000 0.500
0.500 0.500 0.000
0.750 0.250 0.750
0.750 0.750 0.250
0.250 0.250 0.750
0.250 0.750 0.250
0.750 0.250 0.250
0.750 0.750 0.750
0.000 0.000 0.500
0.000 0.500 0.000
0.500 0.000 0.000
0.500 0.500 0.500
```

Values from the calculation:
Mass density: 4.80 g/cm³
Offset from the most stable computed form: 0.88 eV/f.u.

# K3Zn6Au5

A relaxed structure of K3Zn6Au5 (PBE, Alexandria).

Cell and atoms, written as POSCAR:
```
K3Zn6Au5
1.0
4.519 0.000 0.000
0.000 13.405 0.000
0.000 0.000 10.702
K Zn Au
6 12 10
direct
0.250 0.101 0.248
0.250 0.399 0.248
0.250 0.750 0.255
0.750 0.250 0.745
0.750 0.601 0.752
0.750 0.899 0.752
0.250 0.052 0.915
0.250 0.250 0.527
0.250 0.250 0.987
0.250 0.448 0.915
0.250 0.570 0.488
0.250 0.930 0.488
0.750 0.070 0.512
0.750 0.430 0.512
0.750 0.552 0.085
0.750 0.750 0.013
0.750 0.750 0.473
0.750 0.948 0.085
0.250 0.075 0.658
0.250 0.425 0.658
0.250 0.637 0.991
0.250 0.750 0.587
0.250 0.863 0.991
0.750 0.137 0.009
0.750 0.250 0.413
0.750 0.363 0.009
0.750 0.575 0.342
0.750 0.925 0.342
```

Values from the calculation:
Mass density: 7.66 g/cm³

# K4ZnAu

A relaxed structure of K4ZnAu (PBE, Alexandria).

Cell and atoms, written as POSCAR:
```
K4ZnAu
1.0
0.000 5.327 5.327
5.327 0.000 5.327
5.327 5.327 0.000
K Zn Au
4 1 1
direct
0.376 0.376 0.376
0.376 0.376 0.873
0.376 0.873 0.376
0.873 0.376 0.376
0.000 0.000 0.000
0.750 0.750 0.750
```

Values from the calculation:
Mass density: 2.30 g/cm³

# K2ZnAu

A relaxed structure of K2ZnAu (PBE, Alexandria).

Cell and atoms, written as POSCAR:
```
K2ZnAu
1.0
7.902 0.000 0.000
0.000 4.566 0.000
-2.642 0.000 8.712
K Zn Au
4 2 2
direct
0.000 0.000 0.000
0.176 0.000 0.526
0.500 0.500 0.000
0.676 0.500 0.526
0.421 0.000 0.263
0.921 0.500 0.263
0.254 0.500 0.263
0.754 0.000 0.263
```

Values from the calculation:
Mass density: 3.60 g/cm³
Offset from the most stable computed form: 0.00 eV/f.u.

# KZn2Au

A relaxed structure of KZn2Au (PBE, Alexandria).

Cell and atoms, written as POSCAR:
```
KZn2Au
1.0
7.077 0.000 0.000
0.000 7.077 0.000
0.000 0.000 7.077
K Zn Au
4 8 4
direct
0.000 0.000 0.000
0.000 0.500 0.500
0.500 0.000 0.500
0.500 0.500 0.000
0.250 0.250 0.250
0.250 0.250 0.750
0.250 0.750 0.250
0.250 0.750 0.750
0.750 0.250 0.250
0.750 0.250 0.750
0.750 0.750 0.250
0.750 0.750 0.750
0.000 0.000 0.500
0.000 0.500 0.000
0.500 0.000 0.000
0.500 0.500 0.500
```

Values from the calculation:
Mass density: 6.87 g/cm³
Offset from the most stable computed form: 1.25 eV/f.u.

| no. | ΔE_f (eV per atom) |
| --- | --- |
| 1 | 0.877 |
| 2 | 0.021 |
| 3 | -0.207 |
| 4 | 0.318 |
| 5 | -0.199 |
| 6 | 0.091 |